CoSb2I2O3 (PBE with a Hubbard U, relaxed); calculated volume = 357 Å³/cell; electronic total energy = -4.857 eV/atom; space group = P-1, No. 2; magnetic moment = 3.0 μB per formula unit
1.0
5.353 0.000 0.000
1.190 8.121 0.000
1.220 0.362 8.203
Co Sb I O
2 4 4 6
Direct
0.027 0.292 0.486
0.973 0.708 0.514
0.400 0.960 0.690
0.428 0.521 0.698
0.572 0.479 0.302
0.600 0.040 0.310
0.158 0.805 0.200
0.235 0.317 0.118
0.765 0.683 0.882
0.842 0.195 0.800
0.264 0.471 0.485
0.275 0.753 0.625
0.287 0.091 0.485
0.713 0.909 0.515
0.725 0.247 0.375
0.736 0.529 0.515